# 1
DFT (PBE) results for a relaxed structure of RbAuCCl2.

```
RbAuCCl2
1.0
-0.550 -1.491 5.454
-3.510 -1.542 -0.776
2.446 -5.003 -1.121
Cl C Rb Au
2 1 1 1
Direct
0.000 0.000 0.500
0.500 0.000 0.000
0.000 0.500 0.000
0.500 0.500 0.500
0.000 0.000 0.000
```

Properties
The density of states at the Fermi level is 1.83 states/eV/cell. Its density is 4806 kg/m³. The raw total energy comes out at -16.7 eV per cell.


# 2
DFT (PBE) results for a relaxed structure of Ho3Al4Ag4.

```
Ho3Al4Ag4
1.0
3.479 0.000 0.004
0.000 4.581 0.001
1.737 2.272 14.295
Ho Ag Al
3 4 4
Direct
0.000 0.000 0.000
0.857 0.356 0.287
0.143 0.644 0.713
0.312 0.812 0.376
0.688 0.188 0.624
0.450 0.451 0.099
0.550 0.549 0.901
0.595 0.095 0.811
0.261 0.261 0.479
0.405 0.905 0.189
0.739 0.740 0.521
```

Properties
The calculated formation energy is -336.8 meV per atom. The density of states at the Fermi level is 5.75 states/eV/cell. The excess energy over the best structure of this formula in the dataset is 0.29 eV/f.u. Its density is 7539 kg/m³. The raw total energy comes out at -43.8 eV per cell.


# 3
DFT (PBE) results for a relaxed structure of Sr2AgAs3Pt4.

```
Sr2AgAs3Pt4
1.0
-3.915 -1.324 1.797
1.409 -4.280 -0.084
3.927 1.110 9.373
Sr As Pt Ag
2 3 4 1
Direct
0.500 0.000 0.251
0.000 0.500 0.749
0.000 0.500 0.123
0.500 0.000 0.877
0.000 0.000 0.500
0.500 0.000 0.639
0.000 0.500 0.361
0.500 0.500 0.000
0.000 0.000 0.000
0.500 0.500 0.500
```

Properties
The calculated formation energy is -674.2 meV per atom. The density of states at the Fermi level is 4.91 states/eV/cell. Its density is 10301 kg/m³. The raw total energy comes out at -51.1 eV per cell.


# 4
DFT (PBE) results for a relaxed structure of Nd4Er2Hg.

```
Nd4Er2Hg
1.0
3.586 0.000 0.000
0.000 8.616 0.129
-1.793 -3.960 7.299
Nd Er Hg
4 2 1
Direct
0.630 0.386 0.259
0.915 0.296 0.831
0.370 0.614 0.741
0.085 0.704 0.169
0.215 0.137 0.430
0.785 0.863 0.570
0.000 0.000 0.000
```

Properties
The calculated formation energy is -14.0 meV per atom. The density of states at the Fermi level is 9.12 states/eV/cell. Its density is 8123 kg/m³. The raw total energy comes out at -28.6 eV per cell.